! Nd7Tl2Ge2 | the Alexandria database | GGA-PBE | relaxed; values from VASP
&SYSTEM
  ibrav = 0, nat = 11, ntyp = 3
/
ATOMIC_SPECIES
Nd 144.24 Nd.upf
Tl 204.38 Tl.upf
Ge 72.64 Ge.upf
ATOMIC_POSITIONS crystal
Nd 0.0000 0.0000 0.0000
Nd 0.0000 0.5000 0.2713
Nd 0.0000 0.5000 0.7287
Nd 0.5000 0.0000 0.2713
Nd 0.5000 0.0000 0.7287
Nd 0.5000 0.5000 0.2479
Nd 0.5000 0.5000 0.7521
Tl 0.1754 0.1754 0.5000
Tl 0.8246 0.8246 0.5000
Ge 0.2785 0.7215 0.0000
Ge 0.7215 0.2785 0.0000
CELL_PARAMETERS angstrom
4.2330 -5.6668 0.0000
4.2330 5.6668 0.0000
0.0000 0.0000 7.4118
! Magnetic moment in μB per atom: 0.000
! Uncorrected energy in eV per atom: -4.609
! DOS at the Fermi energy in states/eV per atom: 1.28
! ΔH_f (0 K) in meV per atom: -306
! Space-group type: Cmmm
! Crystal system: orthorhombic